Entry 1:
{"formula": "MgZrScZn", "functional": "PBE", "state": "relaxed", "space_group": "P4mm", "e_form_kj_per_mol_atoms": -14.0, "dos_ef_per_ev_atom": 0.8940, "rho_g_cm3": 4.53, "lattice": [[3.280, 0.000, 0.000], [0.000, 3.280, 0.000], [0.000, 0.000, 7.700]], "species": ["Mg", "Zr", "Sc", "Zn"], "fractional_positions": [[0.000, 0.000, 0.071], [0.500, 0.500, 0.346], [0.500, 0.500, 0.793], [0.000, 0.000, 0.575]]}


Entry 2:
{"formula": "Er4InSn2", "functional": "PBE", "state": "relaxed", "space_group": "C2/m", "e_form_kj_per_mol_atoms": -34.1, "dos_ef_per_ev_atom": 0.6148, "rho_g_cm3": 8.44, "lattice": [[-1.656, -2.412, 1.928], [5.781, 0.619, 5.739], [-5.743, 5.963, -0.657]], "species": ["Er", "Er", "Er", "Er", "In", "Sn", "Sn"], "fractional_positions": [[0.897, 0.248, 0.793], [0.103, 0.752, 0.207], [0.623, 0.378, 0.247], [0.377, 0.622, 0.753], [0.000, 0.000, 0.000], [0.776, 0.800, 0.551], [0.224, 0.200, 0.449]]}